No. 1
Here is LiPmHfS4 after structural relaxation from Alexandria. Energies are from PBE.

Cell: 7.5251 7.8467 7.8467 Å, 62.01 61.35 61.35°
Last column: nearest neighbours and their distance in Å.
Sites, in units of the cell vectors:
S  0.2522  0.2177  0.2779  2 Hf 2.59, 1 Li 2.67, 1 Pm 2.82
S  0.7478  0.2221  0.2823  2 Hf 2.59, 1 Li 2.67, 1 Pm 2.82
S  0.2744  0.2283  0.7283  1 Li 2.45, 1 Hf 2.55
S  0.2522  0.7779  0.7177  2 Hf 2.59, 1 Li 2.67, 1 Pm 2.82
S  0.7691  0.2283  0.7283  1 Li 2.45, 1 Hf 2.55
S  0.7256  0.7717  0.2717  1 Li 2.45, 1 Hf 2.55
S  0.2309  0.7717  0.2717  1 Li 2.45, 1 Hf 2.55
S  0.7478  0.7823  0.7221  2 Hf 2.59, 1 Li 2.67, 1 Pm 2.82
Li  0.6208  0.6292  0.1292  4 S 2.45-2.67
Li  0.3792  0.3708  0.8708  4 S 2.45-2.67
Hf  0.0000  0.0000  0.5000  6 S 2.55-2.59
Hf  0.5000  0.0000  0.5000  6 S 2.55-2.59
Pm  0.0000  0.5000  0.5000  6 S 2.79-2.82
Pm  0.0000  0.0000  0.0000  6 S 2.79-2.82

Values from the calculation:
V   24.22 Å³/atom
Spin magnetization   0.000 μB/cell
Uncorrected formation energy   -1.7038 eV per atom

No. 2
Here is ZnCrW2 after structural relaxation from Alexandria. Energies are from PBE.

Cell: 5.0630 5.0630 5.0630 Å, 143.64 129.39 63.90°
Last column: nearest neighbours and their distance in Å.
Sites, in units of the cell vectors:
Zn  0.7500  0.2500  0.5000  4 Cr 2.68, 8 W 2.79-2.95
W  0.0171  0.0171  0.0000  2 Cr 2.55, 4 W 2.70, 2 Zn 2.79
W  0.4829  0.4829  0.0000  2 Cr 2.55, 4 W 2.70, 2 Zn 2.79
Cr  0.2500  0.7500  0.5000  4 W 2.55, 4 Zn 2.68

Values from the calculation:
DOS(E_F)   0.53 states/eV/atom
ΔE_f   0.252 eV per atom
V   14.68 Å³/atom
Spin magnetization   0.001 μB/cell

No. 3
Here is MgMoH after structural relaxation from Alexandria. Energies are from PBE.

Cell: 3.0243 3.0630 10.2389 Å, 81.54 72.88 59.80°
Last column: nearest neighbours and their distance in Å.
Sites, in units of the cell vectors:
Mo  0.0266  0.1021  0.8252  3 H 1.91-1.92
Mo  0.5641  0.4417  0.6133  3 H 1.89-1.90
Mg  0.1029  0.4412  0.0759  3 H 2.41-2.46
Mg  0.5205  0.0939  0.3410  1 H 1.96
H  0.3058  0.1063  0.5411  3 Mo 1.89-1.90, 1 Mg 1.96
H  0.6180  0.7673  0.9033  3 Mo 1.91-1.92

Values from the calculation:
DOS(E_F)   0.44 states/eV/atom
V   13.06 Å³/atom
Spin magnetization   0.000 μB/cell

No. 4
Here is SiGeS3 after structural relaxation from Alexandria. Energies are from PBE.

Cell: 4.5406 4.5406 4.5406 Å, 90.00 90.00 90.00°
Last column: nearest neighbours and their distance in Å.
Sites, in units of the cell vectors:
Si  0.0000  0.0000  0.0000  6 S 2.27
S  0.5000  0.0000  0.0000  2 Si 2.27
S  0.0000  0.0000  0.5000  2 Si 2.27
S  0.0000  0.5000  0.0000  2 Si 2.27
Ge  0.5000  0.5000  0.5000  12 S 3.21

Values from the calculation:
DOS(E_F)   0.64 states/eV/atom
V   18.72 Å³/atom
Spin magnetization   0.000 μB/cell
Uncorrected formation energy   0.1935 eV per atom

No. 5
Here is FeTcCl2 after structural relaxation from Alexandria. Energies are from PBE.

Cell: 9.3478 9.3478 9.3478 Å, 19.06 19.06 19.06°
Last column: nearest neighbours and their distance in Å.
Sites, in units of the cell vectors:
Cl  0.2187  0.2187  0.2187  3 Fe 2.40
Cl  0.0283  0.0283  0.0283  3 Tc 2.51
Fe  0.4939  0.4939  0.4939  3 Cl 2.40, 3 Tc 2.59
Tc  0.7591  0.7591  0.7591  3 Cl 2.51, 3 Fe 2.59

Values from the calculation:
DOS(E_F)   0.58 states/eV/atom
V   19.04 Å³/atom
Spin magnetization   3.239 μB/cell
Uncorrected formation energy   -0.0758 eV per atom

No. 6
Here is V5FeCo2Ir2 after structural relaxation from Alexandria. Energies are from PBE.

Cell: 2.8759 9.5128 9.5128 Å, 90.00 90.00 90.00°
Last column: nearest neighbours and their distance in Å.
Sites, in units of the cell vectors:
V  0.5000  0.4224  0.3129  2 Co 2.31, 2 Fe 2.40
V  0.5000  0.0000  0.5000  4 Co 2.27
V  0.5000  0.6871  0.4224  2 Co 2.31, 2 Fe 2.40
V  0.5000  0.0775  0.8129  2 Co 2.31, 2 Fe 2.40
V  0.5000  0.5000  0.0000  4 Co 2.27
V  0.5000  0.1871  0.0775  2 Co 2.31, 2 Fe 2.40
V  0.5000  0.9224  0.1871  2 Co 2.31, 2 Fe 2.40
V  0.5000  0.5776  0.6871  2 Co 2.31, 2 Fe 2.40
V  0.5000  0.8129  0.9224  2 Co 2.31, 2 Fe 2.40
V  0.5000  0.3129  0.5776  2 Co 2.31, 2 Fe 2.40
Ir  0.0000  0.3288  0.8288  3 Co 2.66-2.90, 6 V 2.72-2.79, 2 Ir 2.88
Ir  0.0000  0.1712  0.3288  3 Co 2.66-2.90, 6 V 2.72-2.79, 2 Ir 2.88
Ir  0.0000  0.6712  0.1712  3 Co 2.66-2.90, 6 V 2.72-2.79, 2 Ir 2.88
Ir  0.0000  0.8288  0.6712  3 Co 2.66-2.90, 6 V 2.72-2.79, 2 Ir 2.88
Fe  0.0000  0.0000  0.0000  8 V 2.40
Fe  0.0000  0.5000  0.5000  8 V 2.40
Co  0.0000  0.3692  0.1308  6 V 2.27-2.31
Co  0.0000  0.6308  0.8692  6 V 2.27-2.31
Co  0.0000  0.1308  0.6308  6 V 2.27-2.31
Co  0.0000  0.8692  0.3692  6 V 2.27-2.31

Values from the calculation:
DOS(E_F)   1.02 states/eV/atom
ΔE_f   -0.032 eV per atom
V   13.01 Å³/atom
Spin magnetization   0.553 μB/cell

No. 7
Here is BaHfZnN3 after structural relaxation from Alexandria. Energies are from PBE.

Cell: 3.4485 7.3746 7.9649 Å, 107.57 90.00 90.00°
Last column: nearest neighbours and their distance in Å.
Sites, in units of the cell vectors:
N  0.7500  0.8564  0.1307  1 Zn 2.00
N  0.2500  0.5329  0.8617  3 Hf 2.12-2.25
N  0.2500  0.1436  0.8693  1 Zn 2.00
N  0.2500  0.8000  0.4512  3 Zn 2.00-2.17
N  0.7500  0.4671  0.1383  3 Hf 2.12-2.25
N  0.7500  0.2000  0.5488  3 Zn 2.00-2.17
Zn  0.2500  0.0968  0.6082  4 N 2.00-2.17
Zn  0.7500  0.9032  0.3918  4 N 2.00-2.17
Ba  0.2500  0.2105  0.2342  7 N 2.80-3.06
Ba  0.7500  0.7895  0.7658  7 N 2.80-3.06
Hf  0.2500  0.6634  0.1386  5 N 2.12-2.25
Hf  0.7500  0.3366  0.8614  5 N 2.12-2.25

Values from the calculation:
DOS(E_F)   0.67 states/eV/atom
V   16.09 Å³/atom
Spin magnetization   0.512 μB/cell
Uncorrected formation energy   -0.6261 eV per atom

No. 8
Here is RbBa2Pd2 after structural relaxation from Alexandria. Energies are from PBE.

Cell: 5.7621 5.7621 7.0271 Å, 65.80 65.80 90.00°
Last column: nearest neighbours and their distance in Å.
Sites, in units of the cell vectors:
Ba  0.7500  0.2500  0.5000  4 Pd 3.25
Ba  0.2500  0.7500  0.5000  4 Pd 3.25
Rb  0.0000  0.0000  0.0000  8 Ba 4.06, 10 Pd 4.30-4.36
Pd  0.6191  0.6191  0.7617  1 Pd 2.73
Pd  0.3809  0.3809  0.2383  1 Pd 2.73

Values from the calculation:
DOS(E_F)   1.47 states/eV/atom
ΔE_f   -0.169 eV per atom
V   38.02 Å³/atom
Spin magnetization   0.000 μB/cell

No. 9
Here is Tb2ZrAg after structural relaxation from Alexandria. Energies are from PBE.

Cell: 3.4564 3.4564 8.6108 Å, 90.00 90.00 90.00°
Last column: nearest neighbours and their distance in Å.
Sites, in units of the cell vectors:
Tb  0.0000  0.0000  0.2355  4 Ag 3.18, 4 Zr 3.34, 4 Tb 3.46
Tb  0.0000  0.0000  0.7645  4 Ag 3.18, 4 Zr 3.34, 4 Tb 3.46
Ag  0.5000  0.5000  0.0000  8 Tb 3.18, 4 Ag 3.46
Zr  0.5000  0.5000  0.5000  8 Tb 3.34, 4 Zr 3.46

Values from the calculation:
DOS(E_F)   0.81 states/eV/atom
ΔE_f   -0.111 eV per atom
V   25.72 Å³/atom
Spin magnetization   0.000 μB/cell

No. 10
Here is LiInCl after structural relaxation from Alexandria. Energies are from PBE.

Cell: 4.8204 4.8204 4.8204 Å, 60.00 60.00 60.00°
Last column: nearest neighbours and their distance in Å.
Sites, in units of the cell vectors:
Li  0.2500  0.2500  0.2500  4 Cl 2.95, 4 In 2.95
Cl  0.0000  0.0000  0.0000  4 Li 2.95
In  0.5000  0.5000  0.5000  4 Li 2.95

Values from the calculation:
DOS(E_F)   0.40 states/eV/atom
V   26.40 Å³/atom
Spin magnetization   0.000 μB/cell
Uncorrected formation energy   -0.4140 eV per atom

No. 11
Here is KScSb2 after structural relaxation from Alexandria. Energies are from PBE.

Cell: 3.2713 3.2713 11.7458 Å, 90.00 90.00 89.98°
Last column: nearest neighbours and their distance in Å.
Sites, in units of the cell vectors:
Sb  0.0000  0.0000  0.0003  4 Sb 3.27, 4 K 3.65
Sb  0.5000  0.5000  0.2847  4 Sc 3.06, 4 Sb 3.27
K  0.5000  0.5000  0.7601  4 K 3.27, 4 Sb 3.65
Sc  0.0000  0.0000  0.4548  4 Sb 3.06, 4 Sc 3.27

Values from the calculation:
DOS(E_F)   0.82 states/eV/atom
V   31.42 Å³/atom
Spin magnetization   0.000 μB/cell
Uncorrected formation energy   0.0337 eV per atom

No. 12
Here is TbPm2TmSb5 after structural relaxation from Alexandria. Energies are from PBE.

Cell: 5.2311 5.2311 11.6760 Å, 90.00 90.00 90.00°
Last column: nearest neighbours and their distance in Å.
Sites, in units of the cell vectors:
Tm  0.0000  0.0000  0.5000  4 Sb 2.62
Sb  0.5000  0.5000  0.0000  2 Pm 3.20
Sb  0.0000  0.0000  0.7525  1 Tb 2.89, 1 Tm 2.95
Sb  0.0000  0.0000  0.2475  1 Tb 2.89, 1 Tm 2.95
Sb  0.5000  0.0000  0.5000  2 Tm 2.62
Sb  0.0000  0.5000  0.5000  2 Tm 2.62
Tb  0.0000  0.0000  0.0000  2 Sb 2.89
Pm  0.5000  0.5000  0.2742  1 Sb 3.20
Pm  0.5000  0.5000  0.7258  1 Sb 3.20

Values from the calculation:
DOS(E_F)   0.68 states/eV/atom
V   35.50 Å³/atom
Spin magnetization   0.000 μB/cell
Uncorrected formation energy   -0.2944 eV per atom

No. 13
Here is Sr2Ga2Br7 after structural relaxation from Alexandria. Energies are from PBE.

Cell: 7.9437 7.9743 7.9743 Å, 110.41 93.80 93.80°
Last column: nearest neighbours and their distance in Å.
Sites, in units of the cell vectors:
Br  0.7960  0.5892  0.9508  1 Ga 2.82, 2 Sr 3.08-3.10
Br  0.7960  0.9508  0.5892  1 Ga 2.82, 2 Sr 3.08-3.10
Br  0.7546  0.4260  0.4260  2 Ga 3.05-3.21, 2 Sr 3.10
Br  0.2040  0.0492  0.4108  1 Ga 2.82, 2 Sr 3.08-3.10
Br  0.5000  0.0000  0.0000  2 Ga 2.61
Br  0.2040  0.4108  0.0492  1 Ga 2.82, 2 Sr 3.08-3.10
Br  0.2454  0.5740  0.5740  2 Ga 3.05-3.21, 2 Sr 3.10
Ga  0.6025  0.7383  0.7383  3 Br 2.61-2.82
Ga  0.3975  0.2617  0.2617  3 Br 2.61-2.82
Sr  0.0000  0.6814  0.3186  6 Br 3.08-3.10
Sr  0.0000  0.3186  0.6814  6 Br 3.08-3.10

Values from the calculation:
DOS(E_F)   0.51 states/eV/atom
V   42.75 Å³/atom
Spin magnetization   0.000 μB/cell
Uncorrected formation energy   -1.3431 eV per atom

Electronic total energy per entry: -6.44 -8.95 -5.19 -4.29 -5.71 -8.63 -6.98 -3.21 -5.28 -2.58 -3.88 -4.65 -3.26 eV per atom